No. 1
First-principles (PBE) data for a relaxed KGe2Pt crystal, as listed in Alexandria via LeMat-Bulk.

Cell and atoms, written as POSCAR:
```
KGe2Pt
1.0
0.000 3.375 3.375
3.375 0.000 3.375
3.375 3.375 0.000
K Ge Pt
1 2 1
direct
0.000 0.000 0.000
0.250 0.250 0.250
0.750 0.750 0.750
0.500 0.500 0.500
```

magnetization	0.00	μB/cell
space group	Fm-3m
DFT formation energy	0.14	eV per atom

=====

No. 2
First-principles (PBE) data for a relaxed K2Ge2Pt3 crystal, as listed in Alexandria via LeMat-Bulk.

Cell and atoms, written as POSCAR:
```
K2Ge2Pt3
1.0
6.288 -2.078 0.000
6.288 2.078 0.000
-4.286 0.000 6.595
K Ge Pt
2 2 3
direct
0.138 0.138 0.250
0.862 0.862 0.750
0.120 0.120 0.728
0.880 0.880 0.272
0.337 0.337 0.079
0.500 0.500 0.500
0.663 0.663 0.921
```

magnetization	0.00	μB/cell
space group	C2/m
DFT formation energy	-0.39	eV per atom

=====

No. 3
First-principles (PBE) data for a relaxed KGePt3 crystal, as listed in Alexandria via LeMat-Bulk.

Cell and atoms, written as POSCAR:
```
KGePt3
1.0
4.963 0.000 0.000
0.000 4.963 0.000
0.000 0.000 4.963
K Ge Pt
1 1 3
direct
0.000 0.000 0.000
0.500 0.500 0.500
0.000 0.000 0.500
0.000 0.500 0.000
0.500 0.000 0.000
```

magnetization	0.00	μB/cell
space group	Pm-3m
DFT formation energy	2.00	eV per atom

=====

No. 4
First-principles (PBE) data for a relaxed KGe3Pt3 crystal, as listed in Alexandria via LeMat-Bulk.

Cell and atoms, written as POSCAR:
```
KGe3Pt3
1.0
3.435 1.983 8.093
-3.435 1.983 8.093
0.000 -3.966 8.093
K Ge Pt
2 6 6
direct
0.164 0.164 0.164
0.836 0.836 0.836
0.037 0.608 0.209
0.209 0.037 0.608
0.392 0.791 0.963
0.608 0.209 0.037
0.791 0.963 0.392
0.963 0.392 0.791
0.161 0.628 0.384
0.372 0.616 0.839
0.384 0.161 0.628
0.616 0.839 0.372
0.628 0.384 0.161
0.839 0.372 0.616
```

magnetization	0.00	μB/cell
space group	R-3
DFT formation energy	-0.41	eV per atom

=====

No. 5
First-principles (PBE) data for a relaxed K2Ge4Pt5 crystal, as listed in Alexandria via LeMat-Bulk.

Cell and atoms, written as POSCAR:
```
K2Ge4Pt5
1.0
0.000 5.782 7.117
2.870 0.000 7.117
2.870 5.782 0.000
K Ge Pt
2 4 5
direct
0.132 0.132 0.868
0.868 0.868 0.132
0.218 0.532 0.468
0.468 0.782 0.218
0.532 0.218 0.782
0.782 0.468 0.532
0.000 0.000 0.500
0.250 0.250 0.250
0.500 0.500 0.000
0.500 0.500 0.500
0.750 0.750 0.750
```

magnetization	0.00	μB/cell
space group	Fmmm
DFT formation energy	-0.44	eV per atom

=====

No. 6
First-principles (PBE) data for a relaxed K3GePt2 crystal, as listed in Alexandria via LeMat-Bulk.

Cell and atoms, written as POSCAR:
```
K3GePt2
1.0
8.231 0.000 0.000
0.000 3.814 0.000
-0.849 0.000 12.551
K Ge Pt
6 2 4
direct
0.001 0.250 0.250
0.299 0.250 0.530
0.299 0.750 0.030
0.701 0.250 0.970
0.701 0.750 0.470
0.999 0.750 0.750
0.499 0.750 0.750
0.501 0.250 0.250
0.342 0.250 0.808
0.344 0.750 0.308
0.656 0.250 0.692
0.658 0.750 0.192
```

magnetization	0.00	μB/cell
space group	P2_1/m
DFT formation energy	-0.20	eV per atom

=====

No. 7
First-principles (PBE) data for a relaxed KGe3Pt2 crystal, as listed in Alexandria via LeMat-Bulk.

Cell and atoms, written as POSCAR:
```
KGe3Pt2
1.0
4.252 2.455 5.792
-4.252 2.455 5.792
0.000 -4.910 5.792
K Ge Pt
2 6 4
direct
0.195 0.195 0.195
0.805 0.805 0.805
0.200 0.200 0.681
0.200 0.681 0.200
0.319 0.800 0.800
0.681 0.200 0.200
0.800 0.319 0.800
0.800 0.800 0.319
0.000 0.000 0.000
0.000 0.500 0.500
0.500 0.000 0.500
0.500 0.500 0.000
```

magnetization	0.00	μB/cell
space group	R-3m
DFT formation energy	-0.19	eV per atom

=====

No. 8
First-principles (PBE) data for a relaxed K2GePt2 crystal, as listed in Alexandria via LeMat-Bulk.

Cell and atoms, written as POSCAR:
```
K2GePt2
1.0
6.523 0.000 0.000
0.000 6.523 0.000
0.000 0.000 5.593
K Ge Pt
4 2 4
direct
0.174 0.326 0.000
0.326 0.826 0.000
0.674 0.174 0.000
0.826 0.674 0.000
0.000 0.000 0.500
0.500 0.500 0.500
0.145 0.645 0.500
0.355 0.145 0.500
0.645 0.855 0.500
0.855 0.355 0.500
```

magnetization	0.00	μB/cell
space group	P4/mbm
DFT formation energy	-0.22	eV per atom

=====

No. 9
First-principles (PBE) data for a relaxed KGe2Pt2 crystal, as listed in Alexandria via LeMat-Bulk.

Cell and atoms, written as POSCAR:
```
KGe2Pt2
1.0
-2.113 2.113 6.418
2.113 -2.113 6.418
2.113 2.113 -6.418
K Ge Pt
1 2 2
direct
0.000 0.000 0.000
0.357 0.357 0.000
0.643 0.643 0.000
0.250 0.750 0.500
0.750 0.250 0.500
```

magnetization	0.00	μB/cell
space group	I4/mmm
DFT formation energy	-0.46	eV per atom

=====

No. 10
First-principles (PBE) data for a relaxed K2Ge7Pt12 crystal, as listed in Alexandria via LeMat-Bulk.

Cell and atoms, written as POSCAR:
```
K2Ge7Pt12
1.0
10.343 0.000 0.000
-5.171 8.957 0.000
0.000 0.000 3.968
K Ge Pt
2 7 12
direct
0.000 0.000 0.000
0.333 0.667 0.500
0.073 0.456 0.000
0.260 0.217 0.500
0.383 0.927 0.000
0.544 0.617 0.000
0.667 0.333 0.000
0.783 0.043 0.500
0.957 0.740 0.500
0.049 0.277 0.500
0.109 0.717 0.000
0.228 0.951 0.500
0.283 0.392 0.000
0.397 0.178 0.000
0.524 0.439 0.500
0.561 0.085 0.500
0.608 0.891 0.000
0.723 0.772 0.500
0.781 0.603 0.000
0.822 0.219 0.000
0.915 0.476 0.500
```

magnetization	0.00	μB/cell
space group	P-6
DFT formation energy	-0.42	eV per atom

=====

No. 11
First-principles (PBE) data for a relaxed KGe3Pt3 crystal, as listed in Alexandria via LeMat-Bulk.

Cell and atoms, written as POSCAR:
```
KGe3Pt3
1.0
8.555 0.000 0.000
0.000 8.555 0.000
0.000 0.000 8.555
K Ge Pt
4 12 12
direct
0.071 0.429 0.571
0.429 0.571 0.071
0.571 0.071 0.429
0.929 0.929 0.929
0.008 0.655 0.202
0.155 0.298 0.992
0.202 0.008 0.655
0.298 0.992 0.155
0.345 0.702 0.492
0.492 0.345 0.702
0.508 0.845 0.798
0.655 0.202 0.008
0.702 0.492 0.345
0.798 0.508 0.845
0.845 0.798 0.508
0.992 0.155 0.298
0.063 0.563 0.937
0.135 0.865 0.365
0.241 0.741 0.759
0.259 0.259 0.259
0.365 0.135 0.865
0.437 0.437 0.437
0.563 0.937 0.063
0.635 0.635 0.635
0.741 0.759 0.241
0.759 0.241 0.741
0.865 0.365 0.135
0.937 0.063 0.563
```

magnetization	0.00	μB/cell
space group	P2_13
DFT formation energy	-0.23	eV per atom

=====

No. 12
First-principles (PBE) data for a relaxed K2Ge2Pt crystal, as listed in Alexandria via LeMat-Bulk.

Cell and atoms, written as POSCAR:
```
K2Ge2Pt
1.0
6.382 -2.297 0.000
6.382 2.297 0.000
-6.112 0.000 9.595
K Ge Pt
4 4 2
direct
0.019 0.019 0.167
0.204 0.204 0.603
0.796 0.796 0.397
0.981 0.981 0.833
0.291 0.291 0.929
0.497 0.497 0.389
0.503 0.503 0.611
0.709 0.709 0.071
0.301 0.301 0.158
0.699 0.699 0.842
```

magnetization	0.00	μB/cell
space group	C2/m
DFT formation energy	-0.26	eV per atom